# RbMn2Nb2O7

RbMn2Nb2O7 after structural relaxation (GGA+U, Alexandria).

Cell lengths 9.801, 9.801, 9.801 Å; angles 156.26, 155.14, 34.64 degrees
Fractional positions:
Rb1 0.000 0.000 0.000
Mn1 0.230 0.730 0.500
Mn2 0.770 0.270 0.500
Nb1 0.393 0.393 0.000
Nb2 0.607 0.607 0.000
O1 0.114 0.614 0.500
O2 0.276 0.276 0.000
O3 0.388 0.888 0.500
O4 0.500 0.500 0.000
O5 0.612 0.112 0.500
O6 0.724 0.724 0.000
O7 0.886 0.386 0.500

Calculated values
* M_tot: 9.4 Bohr magnetons per cell
* space group: Immm, No. 71
* raw total energy: -8.021 eV per atom
* density: 5.15 Mg/m³